# KMn2As GGA-PBE relaxed
data_KMn2As
_symmetry_space_group_name_H-M 'P 1'
_symmetry_Int_Tables_number 1
_symmetry_space_group_name_Hall 'P 1'
_cell_length_a 4.2761
_cell_length_b 4.4296
_cell_length_c 4.4296
_cell_angle_alpha 90.00
_cell_angle_beta 90.00
_cell_angle_gamma 90.00
loop_
_atom_site_label
_atom_site_fract_x
_atom_site_fract_y
_atom_site_fract_z
As1 0.5000 0.5000 0.0000
K1 0.5000 0.0000 0.5000
Mn1 0.0000 0.0000 0.0000
Mn2 0.0000 0.5000 0.5000
# total magnetic moment = 8.4 Bohr magnetons per cell
# calculated volume = 21.0 A^3/atom
# calculated formation energy = 0.70 eV/atom
# space group = P4/mmm (123)
# crystal system = tetragonal